# 1
Density functional theory data (GGA-PBEsol) for a relaxed AgPdNO2 crystal.

Geometry as CIF:
```
data_AgPdNO2
_cell_length_a 4.006
_cell_length_b 4.006
_cell_length_c 3.901
_cell_angle_alpha 90.00
_cell_angle_beta 90.00
_cell_angle_gamma 90.00
_space_group_name_H-M_alt 'P 4/m m m'
_space_group_IT_number 123
_space_group_name_Hall '-P 4 2'
loop_
_atom_site_label
_atom_site_type_symbol
_atom_site_fract_x
_atom_site_fract_y
_atom_site_fract_z
_atom_site_occupancy
Ag1 Ag 0.000 0.000 0.000 1
Pd1 Pd 0.500 0.500 0.500 1
N1 N 0.000 0.000 0.500 1
O1 O 0.000 0.500 0.000 1
```

## Properties
Energy relative to the elements, uncorrected ... 1.343 eV per atom
Electronic total energy ... -4.32 eV/atom
Size of the total moment ... 3.3 μB per formula unit
Crystal system ... tetragonal

---

# 2
Density functional theory data (GGA-PBEsol) for a relaxed NaGa2Si2 crystal.

Geometry as CIF:
```
data_NaGa2Si2
_cell_length_a 4.281
_cell_length_b 4.281
_cell_length_c 10.360
_cell_angle_alpha 90.00
_cell_angle_beta 90.00
_cell_angle_gamma 90.00
_space_group_name_H-M_alt 'I 4/m m m'
_space_group_IT_number 139
_space_group_name_Hall '-I 4 2'
loop_
_atom_site_label
_atom_site_type_symbol
_atom_site_fract_x
_atom_site_fract_y
_atom_site_fract_z
_atom_site_occupancy
Na1 Na 0.000 0.000 0.000 1
Ga1 Ga 0.000 0.000 0.381 1
Si1 Si 0.000 0.500 0.250 1
```

## Properties
Relative energy among the computed polymorphs ... 70 meV per atom
Energy relative to the elements, uncorrected ... 0.028 eV per atom
Electronic total energy ... -3.89 eV/atom
Size of the total moment ... 0.0 μB per formula unit
Crystal system ... tetragonal